A plane-wave DFT calculation with PBE-GGA was carried out for K2LiMoCl6 after structural relaxation.

Its uncorrected formation energy is -14.9 eV per formula unit. As for the density: 2.57 Mg/m³. The volume comes out at 25.4 A^3/atom.

The space group is Fm-3m (No. 225) and the conventional cell measures 10.0587, 10.0587 and 10.0587 Å, with angles of 90.00, 90.00 and 90.00 degrees. The inequivalent atoms are K at (0.2500, 0.2500, 0.2500), Li at (0.0000, 0.0000, 0.0000), Mo at (0.0000, 0.0000, 0.5000) and Cl at (0.0000, 0.0000, 0.2556).